Record 1
DFT (GGA-PBEsol) results for an optimized crystal structure of NbCoP2S.

POSCAR file:
```
NbCoP2S
1.0
4.202 0.000 0.000
0.000 4.202 0.000
0.000 0.000 4.387
P S Co Nb
2 1 1 1
Direct
0.500 0.000 0.000
0.000 0.500 0.000
0.000 0.000 0.500
0.000 0.000 0.000
0.500 0.500 0.500
```

Properties
space group: P4/mmm, No. 123
final energy: -32.570 eV per formula unit
calculated density: 5.27 g cm⁻³


Record 2
DFT (GGA-PBEsol) results for an optimized crystal structure of Mo2IrRh.

POSCAR file:
```
Mo2IrRh
1.0
-0.485 -2.563 0.791
2.369 -0.032 1.347
-3.569 2.630 6.338
Rh Mo Ir
1 2 1
Direct
0.500 0.500 0.000
0.000 0.000 0.751
0.000 0.000 0.249
0.500 0.500 0.500
```

Properties
ΔE to the lowest computed polymorph: 29.5 meV per atom
space group: P4/mmm, No. 123
energy relative to the elements: -0.26 eV per atom
final energy: -42.527 eV per formula unit
calculated density: 14.07 g cm⁻³


Record 3
DFT (GGA-PBEsol) results for an optimized crystal structure of Pt4SeS3.

POSCAR file:
```
Pt4SeS3
1.0
-3.355 0.650 0.792
0.343 -1.845 2.964
3.388 10.221 5.968
Pt S Se
4 3 1
Direct
0.500 0.000 0.378
0.000 0.500 0.134
0.500 0.000 0.866
0.000 0.500 0.622
0.000 0.000 0.256
0.000 0.000 0.500
0.000 0.000 0.744
0.000 0.000 0.000
```

Properties
space group: P-4m2, No. 115
final energy: -47.933 eV per formula unit
calculated density: 10.47 g cm⁻³


Record 4
DFT (GGA-PBEsol) results for an optimized crystal structure of SrCdOs2.

POSCAR file:
```
SrCdOs2
1.0
4.191 0.000 0.000
0.000 5.096 0.000
-2.096 -2.548 3.928
Cd Os Sr
1 2 1
Direct
0.726 0.226 0.453
0.952 0.952 0.905
0.308 0.808 0.617
0.513 0.513 0.026
```

Properties
space group: Imm2, No. 44
energy relative to the elements: 0.70 eV per atom
final energy: -24.659 eV per formula unit
calculated density: 11.49 g cm⁻³


Record 5
DFT (GGA-PBEsol) results for an optimized crystal structure of Sr2ZrBr.

POSCAR file:
```
Sr2ZrBr
1.0
-3.784 3.637 2.031
-2.375 -0.919 5.018
1.317 3.279 4.379
Zr Sr Br
1 2 1
Direct
0.250 0.250 0.250
0.750 0.750 0.750
0.000 0.000 0.000
0.500 0.500 0.500
```

Properties
ΔE to the lowest computed polymorph: 572.5 meV per atom
space group: F-43m, No. 216
final energy: -12.992 eV per formula unit
calculated density: 4.56 g cm⁻³


Record 6
DFT (GGA-PBEsol) results for an optimized crystal structure of FeSbS.

POSCAR file:
```
FeSbS
1.0
-3.163 0.132 4.903
3.438 -4.284 2.333
2.033 5.471 1.164
S Fe Sb
4 4 4
Direct
0.359 0.642 0.830
0.859 0.358 0.670
0.141 0.642 0.330
0.641 0.358 0.170
0.482 0.698 0.197
0.518 0.302 0.803
0.018 0.698 0.697
0.982 0.302 0.303
0.866 0.853 0.131
0.366 0.147 0.369
0.634 0.853 0.631
0.134 0.147 0.869
```

Properties
space group: P2_1/c, No. 14
final energy: -19.390 eV per formula unit
calculated density: 7.29 g cm⁻³


Record 7
DFT (GGA-PBEsol) results for an optimized crystal structure of Li3InB2O6.

POSCAR file:
```
Li3InB2O6
1.0
-4.030 2.995 1.325
-4.677 -3.231 -6.925
-3.445 -7.418 5.788
In O B Li
4 24 8 12
Direct
0.847 0.331 0.877
0.153 0.669 0.123
0.653 0.831 0.623
0.347 0.169 0.377
0.323 0.551 0.618
0.190 0.959 0.361
0.404 0.844 0.088
0.092 0.667 0.907
0.592 0.833 0.407
0.904 0.656 0.588
0.596 0.156 0.912
0.908 0.333 0.093
0.690 0.541 0.861
0.792 0.303 0.662
0.408 0.167 0.593
0.245 0.316 0.848
0.177 0.051 0.882
0.810 0.041 0.639
0.255 0.816 0.652
0.292 0.197 0.162
0.096 0.344 0.412
0.755 0.684 0.152
0.745 0.184 0.348
0.677 0.449 0.382
0.310 0.459 0.139
0.708 0.803 0.838
0.208 0.697 0.338
0.823 0.949 0.118
0.832 0.670 0.869
0.164 0.673 0.619
0.668 0.170 0.631
0.664 0.827 0.119
0.332 0.830 0.369
0.336 0.173 0.881
0.836 0.327 0.381
0.168 0.330 0.131
0.675 0.488 0.593
0.830 0.659 0.381
0.840 0.976 0.324
0.325 0.512 0.407
0.670 0.159 0.119
0.160 0.024 0.676
0.170 0.341 0.619
0.340 0.524 0.824
0.825 0.988 0.907
0.660 0.476 0.176
0.175 0.012 0.093
0.330 0.841 0.881
```

Properties
space group: P2_1/c, No. 14
final energy: -80.800 eV per formula unit
calculated density: 3.61 g cm⁻³


Record 8
DFT (GGA-PBEsol) results for an optimized crystal structure of InP2OsRh.

POSCAR file:
```
InP2OsRh
1.0
-1.034 -2.322 -3.643
4.044 0.796 -1.655
1.710 -4.171 2.173
P In Os Rh
2 1 1 1
Direct
0.500 0.000 0.000
0.000 0.500 0.000
0.500 0.500 0.500
0.000 0.000 0.000
0.000 0.000 0.500
```

Properties
space group: P4/mmm, No. 123
energy relative to the elements: 0.66 eV per atom
final energy: -31.640 eV per formula unit
calculated density: 7.90 g cm⁻³


Record 9
DFT (GGA-PBEsol) results for an optimized crystal structure of KYRe.

POSCAR file:
```
KYRe
1.0
-0.865 2.993 1.034
-2.225 -1.955 -1.415
-2.016 -3.211 7.606
Re Y K
1 1 1
Direct
0.333 0.667 0.638
0.667 0.333 0.406
0.000 0.000 0.956
```

Properties
ΔE to the lowest computed polymorph: 0.0 meV per atom
space group: P3m1, No. 156
energy relative to the elements: 1.07 eV per atom
final energy: -18.069 eV per formula unit
calculated density: 6.58 g cm⁻³


Record 10
DFT (GGA-PBEsol) results for an optimized crystal structure of NdSn6Ru4.

POSCAR file:
```
NdSn6Ru4
1.0
-1.496 5.400 3.933
-0.101 -6.323 2.684
4.848 -1.896 4.447
Ru Nd Sn
4 1 6
Direct
0.749 0.157 0.592
0.251 0.843 0.749
0.408 0.157 0.251
0.592 0.843 0.408
0.000 0.000 0.000
0.500 0.000 0.000
0.527 0.411 0.473
0.116 0.589 0.527
0.884 0.411 0.116
0.000 0.000 0.500
0.473 0.589 0.884
```

Properties
space group: I-42m, No. 121
energy relative to the elements: -0.34 eV per atom
final energy: -75.165 eV per formula unit
calculated density: 9.16 g cm⁻³


Record 11
DFT (GGA-PBEsol) results for an optimized crystal structure of U2CS.

POSCAR file:
```
U2CS
1.0
-2.526 2.186 -1.246
-3.270 -0.061 1.421
-0.229 5.015 4.162
C U S
1 2 1
Direct
0.000 0.000 0.000
0.739 0.739 0.782
0.261 0.261 0.218
0.500 0.500 0.500
```

Properties
space group: R-3m, No. 166
final energy: -41.271 eV per formula unit
calculated density: 12.68 g cm⁻³


Record 12
DFT (GGA-PBEsol) results for an optimized crystal structure of CoTeS2N.

POSCAR file:
```
CoTeS2N
1.0
-2.080 0.565 2.641
-1.063 -4.558 0.139
3.554 -0.739 2.958
Co N Te S
1 1 1 2
Direct
0.000 0.000 0.000
0.500 0.000 0.000
0.500 0.500 0.500
0.000 0.500 0.000
0.000 0.000 0.500
```

Properties
space group: P4/mmm, No. 123
final energy: -27.116 eV per formula unit
calculated density: 5.88 g cm⁻³


Record 13
DFT (GGA-PBEsol) results for an optimized crystal structure of TlRh2W.

POSCAR file:
```
TlRh2W
1.0
2.880 0.000 0.000
1.440 2.494 0.000
1.440 0.831 8.993
W Tl Rh
1 1 2
Direct
0.000 0.000 0.000
0.500 0.500 0.500
0.744 0.744 0.769
0.256 0.256 0.231
```

Properties
ΔE to the lowest computed polymorph: 0.0 meV per atom
space group: R-3m, No. 166
energy relative to the elements: 0.18 eV per atom
final energy: -31.998 eV per formula unit
calculated density: 15.27 g cm⁻³


Record 14
DFT (GGA-PBEsol) results for an optimized crystal structure of K2ZrSe.

POSCAR file:
```
K2ZrSe
1.0
3.313 0.000 0.000
1.657 2.869 0.000
1.657 0.956 11.912
K Zr Se
2 1 1
Direct
0.764 0.764 0.708
0.236 0.236 0.292
0.000 0.000 0.000
0.500 0.500 0.500
```

Properties
space group: R-3m, No. 166
final energy: -14.193 eV per formula unit
calculated density: 3.64 g cm⁻³


Record 15
DFT (GGA-PBEsol) results for an optimized crystal structure of CdHgMo2.

POSCAR file:
```
CdHgMo2
1.0
2.748 0.000 0.000
0.000 4.265 0.000
0.000 0.000 5.926
Hg Cd Mo
1 1 2
Direct
0.500 0.500 0.751
0.000 0.000 0.497
0.500 0.500 0.228
0.000 0.000 0.023
```

Properties
ΔE to the lowest computed polymorph: 194.4 meV per atom
space group: Pmm2, No. 25
energy relative to the elements: 0.48 eV per atom
final energy: -23.385 eV per formula unit
calculated density: 12.07 g cm⁻³


Record 16
DFT (GGA-PBEsol) results for an optimized crystal structure of MnNi2Ru.

POSCAR file:
```
MnNi2Ru
1.0
-1.303 -0.414 3.290
-1.187 -3.242 -0.878
4.337 0.413 -0.159
Mn Ru Ni
1 1 2
Direct
0.250 0.750 0.500
0.500 0.500 0.000
0.000 0.000 0.000
0.750 0.250 0.500
```

Properties
space group: I-4m2, No. 119
energy relative to the elements: 0.04 eV per atom
final energy: -32.075 eV per formula unit
calculated density: 10.05 g cm⁻³


Record 17
DFT (GGA-PBEsol) results for an optimized crystal structure of BaOs2Rh.

POSCAR file:
```
BaOs2Rh
1.0
2.876 0.000 0.020
0.000 4.494 0.000
-1.201 0.000 6.179
Ba Rh Os
1 1 2
Direct
0.000 0.500 0.500
0.500 0.500 0.000
0.707 0.000 0.835
0.293 0.000 0.165
```

Properties
space group: P2/m, No. 10
energy relative to the elements: 1.03 eV per atom
final energy: -30.603 eV per formula unit
calculated density: 12.89 g cm⁻³


Record 18
DFT (GGA-PBEsol) results for an optimized crystal structure of ZnReSi2.

POSCAR file:
```
ZnReSi2
1.0
-0.885 3.464 -2.311
-3.898 0.536 -1.624
-2.566 3.010 1.574
Re Zn Si
1 1 2
Direct
0.500 0.500 0.500
0.250 0.250 0.250
0.750 0.750 0.750
0.000 0.000 0.000
```

Properties
space group: F-43m, No. 216
final energy: -24.420 eV per formula unit
calculated density: 9.37 g cm⁻³


Record 19
DFT (GGA-PBEsol) results for an optimized crystal structure of CrB2Br.

POSCAR file:
```
CrB2Br
1.0
-1.765 -2.993 1.829
2.151 -2.710 1.858
-0.017 -0.169 3.923
B Cr Br
2 1 1
Direct
0.750 0.750 0.750
0.250 0.250 0.250
0.000 0.000 0.000
0.500 0.500 0.500
```

Properties
space group: Fm-3m, No. 225
final energy: -18.423 eV per formula unit
calculated density: 5.95 g cm⁻³


Record 20
DFT (GGA-PBEsol) results for an optimized crystal structure of CuSi2Rh.

POSCAR file:
```
CuSi2Rh
1.0
-2.763 -0.366 0.513
1.008 -1.760 -3.658
0.984 -3.533 2.775
Si Cu Rh
2 1 1
Direct
0.755 0.510 0.750
0.245 0.490 0.250
0.000 0.000 0.500
0.500 0.000 0.000
```

Properties
space group: C2/m, No. 12
final energy: -25.345 eV per formula unit
calculated density: 7.31 g cm⁻³